# PmHoErTm PBE relaxed
# DFT formation energy = 0.020 eV per atom
# D(E_F) = 1.403 states/eV/atom
data_PmHoErTm
_chemical_formula_sum 'Pm3 Ho3 Er3 Tm3'
_space_group_name_H-M_alt 'R 3 m'
_space_group_IT_number 160
_space_group_name_Hall 'R 3 -2"'
_cell_length_a 3.5629
_cell_length_b 3.5629
_cell_length_c 34.3549
_cell_angle_alpha 90.00
_cell_angle_beta 90.00
_cell_angle_gamma 120.00
loop_
_atom_site_label
_atom_site_type_symbol
_atom_site_fract_x
_atom_site_fract_y
_atom_site_fract_z
_atom_site_occupancy
Pm1 Pm 0.0000 0.0000 0.0000 1
Ho1 Ho 0.0000 0.0000 0.1663 1
Er1 Er 0.0000 0.0000 0.7509 1
Tm1 Tm 0.0000 0.0000 0.5816 1